# 1
# Tb7Pr2Dy4 | the Alexandria database | PBE | relaxed
data_Tb7Pr2Dy4
_chemical_formula_sum 'Tb7 Pr2 Dy4'
_cell_length_a 6.108
_cell_length_b 6.108
_cell_length_c 13.340
_cell_angle_alpha 90.00
_cell_angle_beta 90.00
_cell_angle_gamma 120.00
_space_group_name_H-M_alt 'P 1'
_space_group_IT_number 1
_space_group_name_Hall 'P 1'
loop_
_atom_site_label
_atom_site_fract_x
_atom_site_fract_y
_atom_site_fract_z
Tb1 0.000 0.000 0.000
Tb2 0.000 0.357 0.219
Tb3 0.000 0.643 0.781
Tb4 0.357 0.000 0.219
Tb5 0.357 0.357 0.781
Tb6 0.643 0.000 0.781
Tb7 0.643 0.643 0.219
Pr1 0.333 0.667 0.000
Pr2 0.667 0.333 0.000
Dy1 0.000 0.000 0.395
Dy2 0.000 0.000 0.605
Dy3 0.333 0.667 0.500
Dy4 0.667 0.333 0.500
# final energy = -4.464 eV per atom
# SG = P-31m
# DFT formation energy = 4.2 kcal/mol of atoms
# magnetization = 0.00 μB/cell
# crystal system = trigonal

# 2
# LuPuFeNi | the Alexandria database | PBE | relaxed
data_LuPuFeNi
_chemical_formula_sum 'Lu1 Pu1 Fe1 Ni1'
_cell_length_a 4.685
_cell_length_b 4.685
_cell_length_c 4.685
_cell_angle_alpha 60.00
_cell_angle_beta 60.00
_cell_angle_gamma 60.00
_space_group_name_H-M_alt 'P 1'
_space_group_IT_number 1
_space_group_name_Hall 'P 1'
loop_
_atom_site_label
_atom_site_fract_x
_atom_site_fract_y
_atom_site_fract_z
Lu1 0.000 0.000 0.000
Pu1 0.500 0.500 0.500
Fe1 0.250 0.250 0.250
Ni1 0.750 0.750 0.750
# final energy = -8.333 eV per atom
# SG = F-43m
# DFT formation energy = -1.3 kcal/mol of atoms
# magnetization = 3.64 μB/cell
# crystal system = cubic

# 3
# PuTaS3 | the Alexandria database | PBE | relaxed
data_PuTaS3
_chemical_formula_sum 'Pu4 Ta4 S12'
_cell_length_a 7.919
_cell_length_b 3.600
_cell_length_c 13.303
_cell_angle_alpha 90.00
_cell_angle_beta 90.00
_cell_angle_gamma 90.00
_space_group_name_H-M_alt 'P 1'
_space_group_IT_number 1
_space_group_name_Hall 'P 1'
loop_
_atom_site_label
_atom_site_fract_x
_atom_site_fract_y
_atom_site_fract_z
Pu1 0.096 0.250 0.178
Pu2 0.404 0.750 0.678
Pu3 0.596 0.250 0.322
Pu4 0.904 0.750 0.822
Ta1 0.135 0.750 0.454
Ta2 0.365 0.250 0.954
Ta3 0.635 0.750 0.046
Ta4 0.865 0.250 0.546
S1 0.035 0.750 0.626
S2 0.157 0.750 0.010
S3 0.192 0.250 0.796
S4 0.308 0.750 0.296
S5 0.343 0.250 0.510
S6 0.465 0.250 0.126
S7 0.535 0.750 0.874
S8 0.657 0.750 0.490
S9 0.692 0.250 0.704
S10 0.808 0.750 0.204
S11 0.843 0.250 0.990
S12 0.965 0.250 0.374
# final energy = -9.010 eV per atom
# SG = Pnma
# magnetization = 19.30 μB/cell
# crystal system = orthorhombic

# 4
# ReSb2Pb | the Alexandria database | PBE | relaxed
data_ReSb2Pb
_chemical_formula_sum 'Re1 Sb2 Pb1'
_cell_length_a 10.110
_cell_length_b 10.110
_cell_length_c 10.110
_cell_angle_alpha 19.25
_cell_angle_beta 19.25
_cell_angle_gamma 19.25
_space_group_name_H-M_alt 'P 1'
_space_group_IT_number 1
_space_group_name_Hall 'P 1'
loop_
_atom_site_label
_atom_site_fract_x
_atom_site_fract_y
_atom_site_fract_z
Re1 0.000 0.000 0.000
Sb1 0.269 0.269 0.269
Sb2 0.731 0.731 0.731
Pb1 0.500 0.500 0.500
# final energy = -5.856 eV per atom
# SG = R-3m
# magnetization = 0.00 μB/cell
# crystal system = trigonal